Computed, not measured: a geometry-optimized Zn2ReAs structure at the PBE level of DFT.

Structure (CIF):
```
data_Zn2ReAs
_chemical_formula_sum 'Zn4 Re2 As2'
_symmetry_space_group_name_H-M 'I 4/m m m'
_symmetry_Int_Tables_number 139
_symmetry_space_group_name_Hall '-I 4 2'
_cell_length_a 3.698
_cell_length_b 3.698
_cell_length_c 8.731
_cell_angle_alpha 90.00
_cell_angle_beta 90.00
_cell_angle_gamma 90.00
loop_
_atom_site_label
_atom_site_fract_x
_atom_site_fract_y
_atom_site_fract_z
_atom_site_occupancy
Zn1 0.000 0.500 0.250 1
Re1 0.000 0.000 0.000 1
As1 0.000 0.000 0.500 1
```


Computed, not measured: a geometry-optimized Zn2ReAs structure at the PBE level of DFT.

Structure (CIF):
```
data_Zn2ReAs
_chemical_formula_sum 'Zn2 Re1 As1'
_symmetry_space_group_name_H-M 'P 4/m m m'
_symmetry_Int_Tables_number 123
_symmetry_space_group_name_Hall '-P 4 2'
_cell_length_a 3.479
_cell_length_b 3.479
_cell_length_c 5.015
_cell_angle_alpha 90.00
_cell_angle_beta 90.00
_cell_angle_gamma 90.00
loop_
_atom_site_label
_atom_site_fract_x
_atom_site_fract_y
_atom_site_fract_z
_atom_site_occupancy
Zn1 0.000 0.000 0.243 1
Re1 0.500 0.500 0.000 1
As1 0.500 0.500 0.500 1
```


Computed, not measured: a geometry-optimized Zn2ReAs structure at the PBE level of DFT.

Structure (CIF):
```
data_Zn2ReAs
_chemical_formula_sum 'Zn8 Re4 As4'
_symmetry_space_group_name_H-M 'F -4 3 m'
_symmetry_Int_Tables_number 216
_symmetry_space_group_name_Hall 'F -4 2 3'
_cell_length_a 6.259
_cell_length_b 6.259
_cell_length_c 6.259
_cell_angle_alpha 90.00
_cell_angle_beta 90.00
_cell_angle_gamma 90.00
loop_
_atom_site_label
_atom_site_fract_x
_atom_site_fract_y
_atom_site_fract_z
_atom_site_occupancy
Zn1 0.000 0.000 0.000 1
Zn2 0.250 0.250 0.250 1
Re1 0.000 0.000 0.500 1
As1 0.250 0.250 0.750 1
```


Computed, not measured: a geometry-optimized Zn2ReAs structure at the PBE level of DFT.

Structure (CIF):
```
data_Zn2ReAs
_chemical_formula_sum 'Zn2 Re1 As1'
_symmetry_space_group_name_H-M 'P 4/m m m'
_symmetry_Int_Tables_number 123
_symmetry_space_group_name_Hall '-P 4 2'
_cell_length_a 3.740
_cell_length_b 3.740
_cell_length_c 4.326
_cell_angle_alpha 90.00
_cell_angle_beta 90.00
_cell_angle_gamma 90.00
loop_
_atom_site_label
_atom_site_fract_x
_atom_site_fract_y
_atom_site_fract_z
_atom_site_occupancy
Zn1 0.000 0.500 0.000 1
Re1 0.000 0.000 0.500 1
As1 0.500 0.500 0.500 1
```


# ZnRe3As | Alexandria | PBE | relaxed
# * E above lowest polymorph: 0 meV/atom
data_ZnRe3As
_chemical_formula_sum 'Zn1 Re3 As1'
_symmetry_space_group_name_H-M 'P m -3 m'
_symmetry_Int_Tables_number 221
_symmetry_space_group_name_Hall '-P 4 2 3'
_cell_length_a 4.543
_cell_length_b 4.543
_cell_length_c 4.543
_cell_angle_alpha 90.00
_cell_angle_beta 90.00
_cell_angle_gamma 90.00
loop_
_atom_site_label
_atom_site_fract_x
_atom_site_fract_y
_atom_site_fract_z
_atom_site_occupancy
Zn1 0.000 0.000 0.000 1
Re1 0.000 0.500 0.500 1
As1 0.500 0.500 0.500 1


Computed, not measured: a geometry-optimized Zn2ReAs structure at the PBE level of DFT.

Structure (CIF):
```
data_Zn2ReAs
_chemical_formula_sum 'Zn2 Re1 As1'
_symmetry_space_group_name_H-M 'P 4 m m'
_symmetry_Int_Tables_number 99
_cell_length_a 2.949
_cell_length_b 2.949
_cell_length_c 7.825
_cell_angle_alpha 90.00
_cell_angle_beta 90.00
_cell_angle_gamma 90.00
loop_
_symmetry_equiv_pos_as_xyz
'x,y,z'
'-y,x,z'
'-x,-y,z'
'y,-x,z'
'-x,y,z'
'y,x,z'
'x,-y,z'
'-y,-x,z'
loop_
_atom_site_label
_atom_site_fract_x
_atom_site_fract_y
_atom_site_fract_z
_atom_site_occupancy
Zn1 0.000 0.000 0.000 1
Zn2 0.500 0.500 0.231 1
Re1 0.500 0.500 0.771 1
As1 0.000 0.000 0.578 1
```


| no. | calculated total energy (eV per cell) | energy of formation (eV per atom) |
| --- | --- | --- |
| 1 | -36.53 | 0.34 |
| 2 | -18.51 | 0.28 |
| 3 | -70.31 | 0.52 |
| 4 | -17.76 | 0.47 |
| 5 | -34.94 | 1.67 |
| 6 | -18.71 | 0.23 |